A plane-wave DFT calculation with GGA-PBE was carried out for an optimized crystal structure of BeCoW2.

**Total energy**: -8.36 eV/atom
**Formation energy from the elements**: 3.29 eV per formula unit
**Calculated volume**: 116.3 Å³/cell

abc: 9.0920 9.0920 9.0920
angles: 156.83 156.83 33.00
With the nearest neighbours (Å) after each atom.
Atoms (fractional coordinates):
Be: 0.0000 0.0000 0.0000  4 W 2.52, 4 Co 2.58
Be: 0.7500 0.2500 0.5000  4 W 2.52, 4 Co 2.58
Co: 0.2500 0.7500 0.5000  4 W 2.55, 4 Be 2.58
Co: 0.5000 0.5000 0.0000  4 W 2.55, 4 Be 2.58
W: 0.1135 0.6250 0.9885  2 Be 2.52, 4 W 2.52-2.64, 2 Co 2.55
W: 0.3750 0.3635 0.4885  2 Be 2.52, 4 W 2.52-2.64, 2 Co 2.55
W: 0.6365 0.1250 0.0115  2 Be 2.52, 4 W 2.52-2.64, 2 Co 2.55
W: 0.8750 0.8865 0.5115  2 Be 2.52, 4 W 2.52-2.64, 2 Co 2.55